An optimized crystal structure of La3As2S, computed with PBE-GGA.

M_tot in μB per formula unit: 0.0
Mass density in g/cm³: 5.86
Formation energy (no corrections) in meV/atom: -1802
Space group: Immm
Density of states at the Fermi level in states/eV per cell: 1.99

Lattice parameters (Å, degrees): 4.316 6.101 7.451 114.17 106.84 90.00
Sites, in units of the cell vectors:
S1 0.500 0.500 0.500
La1 0.165 0.665 0.831
La2 0.500 0.000 0.500
La3 0.835 0.335 0.169
As1 0.833 0.833 0.165
As2 0.167 0.167 0.835